1.
The following is a PBE calculation of crystalline La2Pm3Dy6 at its relaxed geometry, from Alexandria via LeMat-Bulk.

```
La2Pm3Dy6
1.0
3.120 -5.325 0.000
3.120 5.325 0.000
-1.761 0.000 11.627
La Pm Dy
2 3 6
Cartesian
3.120 3.453 0.000 La
3.120 -3.453 0.000 La
-0.881 0.000 5.813 Pm
2.240 1.745 5.813 Pm
2.240 -1.745 5.813 Pm
0.185 1.777 8.677 Dy
1.185 0.000 2.900 Dy
0.185 -1.777 8.677 Dy
4.294 1.777 2.950 Dy
3.294 0.000 8.727 Dy
4.294 -1.777 2.950 Dy
```

Values from the calculation:
Space group: C2/m
E (eV per cell): -49.74
Formation energy from the elements (meV per atom): 180
Excess energy over the best structure of this formula in the dataset (meV per atom): 0

2.
The following is a PBE calculation of crystalline Li3CeNp2S6 at its relaxed geometry, from Alexandria via LeMat-Bulk.

```
Li3CeNp2S6
1.0
3.433 -5.948 0.000
3.433 5.948 0.000
-2.287 0.000 6.162
Li Ce Np S
3 1 2 6
Cartesian
0.000 0.000 0.000 Li
3.433 2.022 0.000 Li
3.433 -2.022 0.000 Li
2.289 0.000 3.081 Ce
2.289 3.970 3.081 Np
2.289 -3.970 3.081 Np
1.120 2.027 1.522 S
-0.049 0.000 4.657 S
1.120 -2.027 1.522 S
3.458 2.027 4.640 S
4.628 0.000 1.505 S
3.458 -2.027 4.640 S
```

Values from the calculation:
Formation energy from raw total energies (meV per atom): -1485
Space group: C2/m
E (eV per cell): -80.14

3.
The following is a PBE calculation of crystalline TbNpTl2O6 at its relaxed geometry, from Alexandria via LeMat-Bulk.

```
TbNpTl2O6
1.0
5.324 -3.074 0.000
5.324 3.074 0.000
-3.549 0.000 5.020
Tb Np Tl O
1 1 2 6
Cartesian
0.000 0.000 0.000 Tb
3.549 0.000 2.510 Np
0.000 0.000 3.765 Tl
7.098 0.000 1.255 Tl
2.710 1.443 3.685 O
1.887 0.000 1.325 O
4.388 1.443 1.335 O
2.710 -1.443 3.685 O
5.211 0.000 3.695 O
4.388 -1.443 1.335 O
```

Values from the calculation:
Formation energy from raw total energies (meV per atom): -2275
Space group: C2/m
E (eV per cell): -74.80

4.
The following is a PBE calculation of crystalline BiSb2TeBr at its relaxed geometry, from Alexandria via LeMat-Bulk.

```
BiSb2TeBr
1.0
5.921 0.000 0.000
0.000 5.921 0.000
0.000 0.000 5.907
Bi Sb Te Br
1 2 1 1
Cartesian
0.000 0.000 0.000 Bi
0.000 2.961 0.000 Sb
2.961 0.000 0.000 Sb
0.000 0.000 2.953 Te
2.961 2.961 2.953 Br
```

Values from the calculation:
Formation energy from raw total energies (meV per atom): 756
Space group: P4/mmm
E (eV per cell): -13.16
Excess energy over the best structure of this formula in the dataset (meV per atom): 0

5.
The following is a PBE calculation of crystalline Na2CdGaTe4 at its relaxed geometry, from Alexandria via LeMat-Bulk.

```
Na2CdGaTe4
1.0
-4.006 4.006 3.696
4.006 -4.006 3.696
4.006 4.006 -3.696
Na Cd Ga Te
2 1 1 4
Cartesian
4.006 0.000 0.000 Na
0.000 4.006 0.000 Na
0.000 0.000 0.000 Cd
0.000 0.000 3.696 Ga
2.536 2.536 -1.690 Te
1.470 1.470 2.006 Te
1.470 -1.470 5.385 Te
-1.470 1.470 5.385 Te
```

Values from the calculation:
Formation energy from raw total energies (meV per atom): -499
Space group: I-42m
E (eV per cell): -23.14

6.
The following is a PBE calculation of crystalline Ca2AcLu at its relaxed geometry, from Alexandria via LeMat-Bulk.

```
Ca2AcLu
1.0
1.845 1.065 13.383
-1.845 1.065 13.383
0.000 -2.130 13.383
Ca Ac Lu
2 1 1
Cartesian
0.000 0.000 3.379 Ca
0.000 0.000 36.770 Ca
0.000 0.000 20.075 Ac
0.000 0.000 0.000 Lu
```

Values from the calculation:
Space group: R-3m
E (eV per cell): -11.53
Formation energy from the elements (meV per atom): 276
Excess energy over the best structure of this formula in the dataset (meV per atom): 129

7.
The following is a PBE calculation of crystalline KRb2CBr6 at its relaxed geometry, from Alexandria via LeMat-Bulk.

```
KRb2CBr6
1.0
0.000 5.556 5.556
5.556 0.000 5.556
5.556 5.556 0.000
K Rb C Br
1 2 1 6
Cartesian
0.000 0.000 0.000 K
2.778 2.778 2.778 Rb
8.334 8.334 8.334 Rb
5.556 5.556 5.556 C
5.556 5.556 3.136 Br
5.556 3.136 5.556 Br
7.977 5.556 5.556 Br
3.136 5.556 5.556 Br
5.556 7.977 5.556 Br
5.556 5.556 7.977 Br
```

Values from the calculation:
Formation energy from raw total energies (meV per atom): -491
Space group: Fm-3m
E (eV per cell): -27.21

8.
The following is a PBE calculation of crystalline LiPu4Pd7 at its relaxed geometry, from Alexandria via LeMat-Bulk.

```
LiPu4Pd7
1.0
5.503 0.000 0.000
1.604 5.368 0.000
1.282 0.039 8.136
Li Pu Pd
1 4 7
Cartesian
0.000 0.000 0.000 Li
1.985 1.447 5.141 Pu
4.775 3.481 6.507 Pu
3.614 1.926 1.629 Pu
6.404 3.959 2.995 Pu
0.802 2.684 0.000 Pd
0.974 0.932 2.254 Pd
3.647 4.033 3.754 Pd
4.037 0.861 7.080 Pd
4.352 4.545 1.056 Pd
4.743 1.374 4.382 Pd
7.415 4.475 5.882 Pd
```

Values from the calculation:
Space group: P-1
E (eV per cell): -100.64
Formation energy from the elements (meV per atom): -421

Results for size of the total moment: 0.0 9.0 0.1 0.6 0.0 0.1 1.0 22.0 (in μB per formula unit, following the order of the records).